# LiTb4Pm5

LiTb4Pm5 after structural relaxation (PBE, the Alexandria database).

## Properties
Formation energy = 0.03 eV per atom
DOS(E_F) = 13.48 states/eV per cell
Size of the total moment = 0.00 μB per atom
Calculated volume = 32.03 Å³/atom
DFT total energy = -43.9 eV for the cell shown

The structure in extended XYZ format:
```
10
Lattice="3.6190 0.0000 0.0000 0.0000 3.6190 0.0000 0.0000 0.0000 24.4558" Properties=species:S:1:pos:R:3 pbc="T T T"
Li 0.0000 0.0000 0.0000
Tb 0.0000 0.0000 4.5989
Tb 0.0000 0.0000 9.6856
Tb 0.0000 0.0000 14.7703
Tb 0.0000 0.0000 19.8569
Pm 1.8095 1.8095 2.1090
Pm 1.8095 1.8095 7.1466
Pm 1.8095 1.8095 12.2279
Pm 1.8095 1.8095 17.3092
Pm 1.8095 1.8095 22.3468
```